## Be2VInHg (PBE)

Data for Be2VInHg after structural relaxation.

Structure (POSCAR):
```
Be2VInHg
1.0
4.3504 0.0000 0.0000
0.0000 4.3504 0.0000
0.0000 0.0000 5.1600
Be V In Hg
2 1 1 1
Cartesian
0.0000 2.1752 0.0000
2.1752 0.0000 0.0000
0.0000 0.0000 2.5800
2.1752 2.1752 2.5800
0.0000 0.0000 0.0000
```

Space-group type: No. 123



## Sr2Zn3Pd (PBE)

Data for Sr2Zn3Pd after structural relaxation.

Structure (POSCAR):
```
Sr2Zn3Pd
1.0
0.0000 4.5349 7.8285
4.2319 0.0000 7.8285
4.2319 4.5349 0.0000
Sr Zn Pd
4 6 2
Cartesian
6.3950 4.5349 7.8285
2.1159 2.2674 3.9143
6.3478 6.8023 11.7428
2.0688 4.5349 7.8285
4.2319 2.2518 6.5121
4.2319 4.5349 5.1845
4.2319 2.2518 9.1450
4.2319 6.8179 6.5121
4.2319 4.5349 10.4726
4.2319 6.8179 9.1450
4.2319 4.5349 2.5996
4.2319 4.5349 13.0575
```

Excess energy over the best structure of this formula in the dataset in meV per atom: 9
Space-group type: No. 69



## CsTl2Au2 (PBE)

Data for CsTl2Au2 after structural relaxation.

Structure (POSCAR):
```
CsTl2Au2
1.0
-2.6869 2.6869 5.7433
2.6869 -2.6869 5.7433
2.6869 2.6869 -5.7433
Cs Tl Au
1 2 2
Cartesian
0.0000 0.0000 0.0000
0.0000 0.0000 4.0593
0.0000 0.0000 7.4272
2.6869 0.0000 2.8716
0.0000 2.6869 2.8716
```

Excess energy over the best structure of this formula in the dataset in meV per atom: 22
Space-group type: No. 139



## SnTePt2 (PBE)

Data for SnTePt2 after structural relaxation.

Structure (POSCAR):
```
SnTePt2
1.0
-2.5204 2.5204 7.7547
2.5204 -2.5204 7.7547
2.5204 2.5204 -7.7547
Sn Te Pt
2 2 4
Cartesian
0.0000 0.0000 0.0000
0.0000 2.5204 3.8774
2.5204 0.0000 3.8774
0.0000 0.0000 7.7547
1.2602 -1.1751 5.8160
1.3453 1.2602 1.9387
1.2602 3.6955 -1.9387
1.1751 1.2602 9.6934
```

Excess energy over the best structure of this formula in the dataset in meV per atom: 0
Space-group type: No. 122
ΔE_f (raw) in eV/atom: -0.174



## LaInSnGe (PBE)

Data for LaInSnGe after structural relaxation.

Structure (POSCAR):
```
LaInSnGe
1.0
4.5594 0.0000 0.0000
0.0000 4.5998 0.0000
0.0000 0.0000 4.8934
La In Sn Ge
1 1 1 1
Cartesian
0.0000 0.0000 0.0000
0.0000 2.2999 2.4467
2.2797 0.0000 2.4467
2.2797 2.2999 0.0000
```

Space-group type: No. 47



## DyAl6Ag4 (PBE)

Data for DyAl6Ag4 after structural relaxation.

Structure (POSCAR):
```
DyAl6Ag4
1.0
-3.3358 3.3358 4.9037
3.3358 -3.3358 4.9037
3.3358 3.3358 -4.9037
Dy Al Ag
1 6 4
Cartesian
0.0000 0.0000 0.0000
3.3358 0.0000 0.0000
1.9261 1.9261 -1.7823
1.4098 -1.4098 6.6860
0.0000 3.3358 0.0000
1.4098 1.4098 3.1214
-1.4098 1.4098 6.6859
1.1131 -1.1131 3.9656
2.2228 2.2228 0.9380
-1.1131 1.1131 3.9656
1.1131 1.1131 5.8417
```

Space-group type: No. 121



## Pr2NpB2N6 (PBE)

Data for Pr2NpB2N6 after structural relaxation.

Structure (POSCAR):
```
Pr2NpB2N6
1.0
2.6916 1.5540 5.4868
-2.6916 1.5540 5.4868
0.0000 -3.1080 5.4868
Pr Np B N
2 1 2 6
Cartesian
0.0000 0.0000 3.5545
0.0000 0.0000 12.9059
0.0000 0.0000 0.0000
0.0000 0.0000 6.8596
0.0000 0.0000 9.6008
0.0000 -1.4602 6.8684
-1.2646 0.7301 6.8684
-1.2645 -0.7301 9.5920
1.2646 0.7301 6.8684
1.2645 -0.7301 9.5920
0.0000 1.4602 9.5920
```

Space-group type: No. 166
ΔE_f (raw) in eV/atom: -1.096



## CsAgGe2I6 (PBE)

Data for CsAgGe2I6 after structural relaxation.

Structure (POSCAR):
```
CsAgGe2I6
1.0
7.0269 -7.7349 0.0000
7.0269 7.7349 0.0000
-5.0831 0.0000 9.3987
Cs Ag Ge I
2 2 4 12
Cartesian
3.2146 5.8646 7.0490
5.7561 -5.8646 2.3497
5.7561 4.7223 2.3497
3.2146 -4.7223 7.0490
0.8797 1.1442 7.8829
3.4212 -1.1442 3.1836
5.5495 1.1442 6.2151
8.0910 -1.1442 1.5158
-1.5751 1.2855 6.3747
0.5332 3.6219 9.1048
0.9665 -1.2855 1.6754
2.5080 0.7590 4.9717
5.8960 3.6219 4.9932
5.0495 -0.7590 0.2724
3.9212 0.7590 9.1263
3.0747 -3.6219 4.4054
6.4628 -0.7590 4.4270
8.0042 1.2855 7.7233
8.4375 -3.6219 0.2939
10.5458 -1.2855 3.0240
```

Space-group type: No. 15
ΔE_f (raw) in eV/atom: -0.503



## Dy2Zn3Co (PBE)

Data for Dy2Zn3Co after structural relaxation.

Structure (POSCAR):
```
Dy2Zn3Co
1.0
4.9545 -2.1193 0.0000
4.9545 2.1193 0.0000
-4.3209 0.0000 5.3791
Dy Zn Co
2 3 1
Cartesian
0.0000 0.0000 0.0000
-1.5515 0.0000 3.3131
2.9228 0.0000 1.0006
1.3763 0.0000 3.2066
5.5109 0.0000 2.0667
2.7531 0.0000 5.2563
```

Space-group type: No. 8



## AlTc2Ru (PBE)

Data for AlTc2Ru after structural relaxation.

Structure (POSCAR):
```
AlTc2Ru
1.0
1.3900 0.8025 8.6489
-1.3900 0.8025 8.6489
0.0000 -1.6050 8.6489
Al Tc Ru
1 2 1
Cartesian
0.0000 0.0000 0.0000
0.0000 0.0000 6.4536
0.0000 0.0000 19.4931
0.0000 0.0000 12.9734
```

Excess energy over the best structure of this formula in the dataset in meV per atom: 188
Space-group type: No. 166



## TlCdSCl2 (PBE)

Data for TlCdSCl2 after structural relaxation.

Structure (POSCAR):
```
TlCdSCl2
1.0
5.3187 0.0000 0.0000
0.0000 5.3187 0.0000
0.0000 0.0000 5.1080
Tl Cd S Cl
1 1 1 2
Cartesian
0.0000 0.0000 0.0000
2.6593 2.6593 2.5540
2.6593 2.6593 0.0000
0.0000 2.6593 2.5540
2.6593 0.0000 2.5540
```

Excess energy over the best structure of this formula in the dataset in meV per atom: 0
Space-group type: No. 123
ΔE_f (raw) in eV/atom: -0.502



## Zn2FeSb (PBE)

Data for Zn2FeSb after structural relaxation.

Structure (POSCAR):
```
Zn2FeSb
1.0
2.9395 0.0000 0.0000
0.0000 2.9395 0.0000
0.0000 0.0000 8.2502
Zn Fe Sb
2 1 1
Cartesian
0.0000 0.0000 1.5903
0.0000 0.0000 6.6599
1.4697 1.4697 0.0000
1.4697 1.4697 4.1251
```

Space-group type: No. 123
ΔE_f (raw) in eV/atom: 0.260



## Nd4Tm8Pu (PBE)

Data for Nd4Tm8Pu after structural relaxation.

Structure (POSCAR):
```
Nd4Tm8Pu
1.0
5.4750 3.1610 4.4448
-5.4750 3.1610 4.4448
0.0000 -6.3220 4.4448
Nd Tm Pu
4 8 1
Cartesian
0.0000 0.0000 0.0000
-2.7375 -1.5805 4.4448
-2.7375 1.5805 8.8896
0.0000 3.1610 4.4448
0.0000 -3.2283 5.5166
-2.7958 1.6142 5.5166
0.0000 0.0000 3.2576
-2.7958 -1.6142 7.8178
2.7958 1.6142 5.5166
0.0000 0.0000 10.0767
2.7958 -1.6142 7.8178
0.0000 3.2283 7.8178
0.0000 0.0000 6.6672
```

Space-group type: No. 166



## SrCdC2O6 (PBE)

Data for SrCdC2O6 after structural relaxation.

Structure (POSCAR):
```
SrCdC2O6
1.0
4.4030 -4.8952 0.0000
4.4030 4.8952 0.0000
-2.0169 0.0000 6.1585
Sr Cd C O
2 2 4 12
Cartesian
2.8904 3.5569 4.6189
3.8988 -3.5569 1.5396
3.8988 0.9086 1.5396
2.8904 -0.9086 4.6189
0.6265 1.4602 4.6362
1.6349 -1.4602 1.5570
5.1542 1.4602 4.6016
6.1627 -1.4602 1.5223
1.9379 2.1442 1.5567
-0.1098 0.6645 3.9633
0.8987 -0.6645 0.8841
1.6605 1.0176 5.3292
2.6690 -1.0176 2.2499
0.9295 -2.1442 4.6359
5.8597 2.1442 1.5226
4.1202 1.0176 3.9086
5.1286 -1.0176 0.8293
5.8905 0.6645 5.2745
6.8990 -0.6645 2.1952
4.8513 -2.1442 4.6019
```

Space-group type: No. 15
ΔE_f (raw) in eV/atom: -1.784



## Y3ScHg (PBE)

Data for Y3ScHg after structural relaxation.

Structure (POSCAR):
```
Y3ScHg
1.0
5.4878 0.0000 0.0000
0.0000 5.4878 0.0000
0.0000 0.0000 5.4878
Y Sc Hg
3 1 1
Cartesian
0.0000 0.0000 2.7439
0.0000 2.7439 0.0000
2.7439 0.0000 0.0000
0.0000 0.0000 0.0000
2.7439 2.7439 2.7439
```

Excess energy over the best structure of this formula in the dataset in meV per atom: 247
Space-group type: No. 221



## BTeF2 (PBE)

Data for BTeF2 after structural relaxation.

Structure (POSCAR):
```
BTeF2
1.0
0.0000 3.9511 3.9511
3.9511 0.0000 3.9511
3.9511 3.9511 0.0000
B Te F
2 2 4
Cartesian
0.9878 0.9878 0.9878
6.9145 6.9145 6.9145
2.9634 2.9634 2.9634
4.9389 4.9389 4.9389
0.0000 0.0000 0.0000
1.9756 1.9756 0.0000
1.9756 0.0000 1.9756
0.0000 1.9756 1.9756
```

Excess energy over the best structure of this formula in the dataset in meV per atom: 540
Space-group type: No. 227
ΔE_f (raw) in eV/atom: -0.329



no.,final energy (eV/cell)
1,-14.5
2,-29.4
3,-13.0
4,-39.8
5,-18.3
6,-38.8
7,-97.9
8,-54.5
9,-22.0
10,-34.0
11,-13.6
12,-14.1
13,-62.1
14,-137.3
15,-23.0
16,-29.8